## YPaFeO6 (GGA+U)

Data for a relaxed YPaFeO6 crystal.

Lattice parameters (Å, degrees): 5.3070 5.3070 4.8121 90.00 90.00 120.00
Fractional coordinates of all 9 atoms:
1 Y 0.0000 0.0000 0.0000
2 Pa 0.6667 0.3333 0.5000
3 Fe 0.3333 0.6667 0.0000
4 O 0.0231 0.3775 0.2331
5 O 0.0231 0.6457 0.7669
6 O 0.3543 0.3775 0.7669
7 O 0.3543 0.9769 0.2331
8 O 0.6225 0.6457 0.2331
9 O 0.6225 0.9769 0.7669

Properties
Its total energy is -73.6 eV per cell. The density comes out at 6.67 g/cm3. Its space group is P312, No. 149. The calculation puts the density of states at the Fermi level at 4.648 states/eV/f.u.